(1)
GGA-PBE Nb4In2CN, relaxed; total moment = 0.01 μB/f.u.; symmetry = No. 164; raw total energy = -67.2 eV for the cell shown
1.0
3.1970 0.0000 0.0000
-1.5985 2.7687 0.0000
0.0000 0.0000 14.3984
Nb In C N
4 2 1 1
Cartesian
0.0000 1.8458 1.1945 Nb
0.0000 1.8458 6.0329 Nb
1.5985 0.9229 8.3655 Nb
1.5985 0.9229 13.2039 Nb
0.0000 1.8458 10.7835 In
1.5985 0.9229 3.6149 In
0.0000 0.0000 0.0000 C
0.0000 0.0000 7.1992 N

(2)
GGA-PBE Ta2BAs, relaxed; total moment = 0.00 μB/f.u.; symmetry = No. 194; raw total energy = -75.5 eV for the cell shown
1.0
3.3781 0.0000 0.0000
-1.6890 2.9255 0.0000
0.0000 0.0000 12.0539
Ta B As
4 2 2
Cartesian
0.0000 1.9503 1.1965 Ta
0.0000 1.9503 4.8305 Ta
1.6890 0.9752 7.2234 Ta
1.6890 0.9752 10.8574 Ta
0.0000 0.0000 0.0000 B
0.0000 0.0000 6.0269 B
0.0000 1.9503 9.0404 As
1.6890 0.9752 3.0135 As